Material: LaPuZnNi
Method: DFT, PBE-GGA
State: relaxed

Geometry as CIF:
```
data_LaPuZnNi
_space_group_name_H-M_alt 'F -4 3 m'
_space_group_IT_number 216
_space_group_name_Hall 'F -4 2 3'
_cell_length_a 7.1402
_cell_length_b 7.1402
_cell_length_c 7.1402
_cell_angle_alpha 90.00
_cell_angle_beta 90.00
_cell_angle_gamma 90.00
loop_
_atom_site_label
_atom_site_type_symbol
_atom_site_fract_x
_atom_site_fract_y
_atom_site_fract_z
La1 La 0.0000 0.0000 0.0000
Pu1 Pu 0.0000 0.0000 0.5000
Zn1 Zn 0.2500 0.2500 0.2500
Ni1 Ni 0.2500 0.2500 0.7500
```

---

Material: RbLa2Ni2
Method: DFT, PBE-GGA
State: relaxed

Geometry as CIF:
```
data_RbLa2Ni2
_space_group_name_H-M_alt 'P 4/m b m'
_space_group_IT_number 127
_space_group_name_Hall '-P 4 2ab'
_cell_length_a 8.5591
_cell_length_b 8.5591
_cell_length_c 3.8298
_cell_angle_alpha 90.00
_cell_angle_beta 90.00
_cell_angle_gamma 90.00
loop_
_atom_site_label
_atom_site_type_symbol
_atom_site_fract_x
_atom_site_fract_y
_atom_site_fract_z
Rb1 Rb 0.0000 0.0000 0.0000
La1 La 0.1421 0.3579 0.5000
Ni1 Ni 0.1135 0.6135 0.0000
```

---

Material: RbLa3Ni
Method: DFT, PBE-GGA
State: relaxed

## Properties
As for the energy above the most stable polymorph in this dataset: 0 meV/atom.

Geometry as CIF:
```
data_RbLa3Ni
_space_group_name_H-M_alt 'P m -3 m'
_space_group_IT_number 221
_space_group_name_Hall '-P 4 2 3'
_cell_length_a 5.7783
_cell_length_b 5.7783
_cell_length_c 5.7783
_cell_angle_alpha 90.00
_cell_angle_beta 90.00
_cell_angle_gamma 90.00
loop_
_atom_site_label
_atom_site_type_symbol
_atom_site_fract_x
_atom_site_fract_y
_atom_site_fract_z
Rb1 Rb 0.0000 0.0000 0.0000
La1 La 0.0000 0.5000 0.5000
Ni1 Ni 0.5000 0.5000 0.5000
```

---

Material: RbLa3Ni
Method: DFT, PBE-GGA
State: relaxed

## Properties
As for the energy above the most stable polymorph in this dataset: 1299 meV/atom.

Geometry as CIF:
```
data_RbLa3Ni
_space_group_name_H-M_alt 'P m -3 m'
_space_group_IT_number 221
_space_group_name_Hall '-P 4 2 3'
_cell_length_a 5.6086
_cell_length_b 5.6086
_cell_length_c 5.6086
_cell_angle_alpha 90.00
_cell_angle_beta 90.00
_cell_angle_gamma 90.00
loop_
_atom_site_label
_atom_site_type_symbol
_atom_site_fract_x
_atom_site_fract_y
_atom_site_fract_z
Rb1 Rb 0.0000 0.0000 0.0000
La1 La 0.0000 0.0000 0.5000
Ni1 Ni 0.5000 0.5000 0.5000
```

---

Q: Which E_form values were calculated for the entries above? A: -0.076; 0.105; 0.174; 1.473, in eV per atom.